This record from the Alexandria database describes a relaxed MgSc2GaC crystal. The functional is PBE.

## Properties
Total magnetic moment (μB/f.u.): 0.0
Space group: P4/mmm, No. 123
Energy of formation from the pure elements (meV/atom): -412

Structure (extended XYZ):
```
5
Lattice="4.500 0.000 0.000 0.000 4.500 0.000 0.000 0.000 4.337" Properties=species:S:1:pos:R:3 pbc="T T T"
Mg 0.000 0.000 0.000
Sc 0.000 2.250 2.169
Sc 2.250 0.000 2.169
Ga 2.250 2.250 0.000
C 0.000 0.000 2.169
```

---

This record from the Alexandria database describes a relaxed SrMg2GaC crystal. The functional is PBE.

## Properties
Total magnetic moment (μB/f.u.): 0.0
Space group: P4/mmm, No. 123
Energy of formation from the pure elements (meV/atom): 805

Structure (extended XYZ):
```
5
Lattice="5.557 0.000 0.000 0.000 5.557 0.000 0.000 0.000 3.961" Properties=species:S:1:pos:R:3 pbc="T T T"
Sr 0.000 0.000 0.000
Mg 0.000 2.779 1.980
Mg 2.779 0.000 1.980
Ga 2.779 2.779 1.980
C 2.779 2.779 0.000
```

---

This record from the Alexandria database describes a relaxed MgTl2GaC crystal. The functional is PBE.

## Properties
Total magnetic moment (μB/f.u.): 2.0
Space group: P4/mmm, No. 123
Energy of formation from the pure elements (meV/atom): 1601

Structure (extended XYZ):
```
5
Lattice="5.543 0.000 0.000 0.000 5.543 0.000 0.000 0.000 5.132" Properties=species:S:1:pos:R:3 pbc="T T T"
Mg 0.000 0.000 0.000
Tl 0.000 2.772 0.000
Tl 2.772 0.000 0.000
Ga 0.000 0.000 2.566
C 2.772 2.772 2.566
```

---

This record from the Alexandria database describes a relaxed Y2MgGaC crystal. The functional is PBE.

## Properties
Total magnetic moment (μB/f.u.): 0.0
Space group: P4/mmm, No. 123
Energy of formation from the pure elements (meV/atom): -329

Structure (extended XYZ):
```
5
Lattice="4.911 0.000 0.000 0.000 4.911 0.000 0.000 0.000 4.335" Properties=species:S:1:pos:R:3 pbc="T T T"
Y 0.000 2.455 0.000
Y 2.455 0.000 0.000
Mg 0.000 0.000 2.167
Ga 2.455 2.455 2.167
C 0.000 0.000 0.000
```

---

Which of these has the highest total magnetic moment?
MgTl2GaC

---

Among the records above, which one has the highest total magnetic moment?
MgTl2GaC

---

energy of formation from the pure elements of number 1 (MgSc2GaC)?
-412 meV/atom